P:
Entry from Alexandria via LeMat-Bulk: crystalline NaLi2I at its relaxed geometry (PBE-GGA).

Output
SG: No. 122

Unit cell a=8.0544 b=8.0544 c=8.3837 alpha=90.00 beta=90.00 gamma=90.00
Sites, in units of the cell vectors:
Na 0.0000 0.0000 0.0000
Na 0.0000 0.5000 0.2500
Na 0.5000 0.0000 0.7500
Na 0.5000 0.5000 0.5000
Li 0.1944 0.2500 0.6250
Li 0.2500 0.6944 0.8750
Li 0.2500 0.8056 0.3750
Li 0.3056 0.2500 0.1250
Li 0.6944 0.7500 0.1250
Li 0.7500 0.1944 0.3750
Li 0.7500 0.3056 0.8750
Li 0.8056 0.7500 0.6250
I 0.0000 0.0000 0.5000
I 0.0000 0.5000 0.7500
I 0.5000 0.0000 0.2500
I 0.5000 0.5000 0.0000



Q:
Entry from Alexandria via LeMat-Bulk: crystalline NaLi2I at its relaxed geometry (PBE-GGA).

Output
SG: No. 225

Unit cell a=7.7043 b=7.7043 c=7.7043 alpha=90.00 beta=90.00 gamma=90.00
Sites, in units of the cell vectors:
Na 0.0000 0.0000 0.0000
Na 0.0000 0.5000 0.5000
Na 0.5000 0.0000 0.5000
Na 0.5000 0.5000 0.0000
Li 0.2500 0.2500 0.2500
Li 0.2500 0.2500 0.7500
Li 0.2500 0.7500 0.2500
Li 0.2500 0.7500 0.7500
Li 0.7500 0.2500 0.2500
Li 0.7500 0.2500 0.7500
Li 0.7500 0.7500 0.2500
Li 0.7500 0.7500 0.7500
I 0.0000 0.0000 0.5000
I 0.0000 0.5000 0.0000
I 0.5000 0.0000 0.0000
I 0.5000 0.5000 0.5000



Stability summary: most stable P, least stable Q.



P:
Entry from Alexandria via LeMat-Bulk: crystalline NaLi2I3 at its relaxed geometry (PBE-GGA).

Output
SG: No. 63

Unit cell a=8.8890 b=8.8890 c=6.5744 alpha=90.00 beta=90.00 gamma=110.10
Sites, in units of the cell vectors:
Na 0.2094 0.7906 0.7500
Na 0.7906 0.2094 0.2500
Li 0.1756 0.1756 0.0000
Li 0.1756 0.1756 0.5000
Li 0.8244 0.8244 0.0000
Li 0.8244 0.8244 0.5000
I 0.1014 0.8986 0.2500
I 0.1512 0.4085 0.2500
I 0.4085 0.1512 0.7500
I 0.5915 0.8488 0.2500
I 0.8488 0.5915 0.7500
I 0.8986 0.1014 0.7500



Q:
Entry from Alexandria via LeMat-Bulk: crystalline NaLi2I3 at its relaxed geometry (PBE-GGA).

Output
SG: No. 9

Unit cell a=8.2273 b=8.2273 c=8.0535 alpha=98.94 beta=98.94 gamma=120.71
Sites, in units of the cell vectors:
Na 0.0886 0.9114 0.5000
Na 0.9114 0.0886 0.0000
Li 0.2574 0.7461 0.0056
Li 0.4153 0.5801 0.5019
Li 0.5801 0.4153 0.0019
Li 0.7461 0.2574 0.5056
I 0.0432 0.2366 0.4006
I 0.2366 0.0432 0.9006
I 0.4047 0.8727 0.3729
I 0.5193 0.6818 0.8694
I 0.6818 0.5193 0.3694
I 0.8727 0.4047 0.8729



Stability summary: most stable Q, least stable P.



P:
Entry from Alexandria via LeMat-Bulk: crystalline Na2Li2I at its relaxed geometry (PBE-GGA).

Output
SG: No. 127

Unit cell a=8.2892 b=8.2892 c=5.0212 alpha=90.00 beta=90.00 gamma=90.00
Sites, in units of the cell vectors:
Na 0.1467 0.3533 0.0000
Na 0.3533 0.8533 0.0000
Na 0.6467 0.1467 0.0000
Na 0.8533 0.6467 0.0000
Li 0.1313 0.6313 0.5000
Li 0.3687 0.1313 0.5000
Li 0.6313 0.8687 0.5000
Li 0.8687 0.3687 0.5000
I 0.0000 0.0000 0.0000
I 0.5000 0.5000 0.0000



Q:
Entry from Alexandria via LeMat-Bulk: crystalline Na2Li2I at its relaxed geometry (PBE-GGA).

Output
SG: No. 127

Unit cell a=7.5715 b=7.5715 c=5.4473 alpha=90.00 beta=90.00 gamma=90.00
Sites, in units of the cell vectors:
Na 0.1561 0.3439 0.0000
Na 0.3439 0.8439 0.0000
Na 0.6561 0.1561 0.0000
Na 0.8439 0.6561 0.0000
Li 0.1393 0.6393 0.5000
Li 0.3607 0.1393 0.5000
Li 0.6393 0.8607 0.5000
Li 0.8607 0.3607 0.5000
I 0.0000 0.0000 0.5000
I 0.5000 0.5000 0.5000



Stability summary: most stable Q, least stable P.



P:
Entry from Alexandria via LeMat-Bulk: crystalline NaLiIO2 at its relaxed geometry (PBE-GGA).

Output
SG: No. 123

Unit cell a=4.2181 b=4.2181 c=5.5809 alpha=90.00 beta=90.00 gamma=90.00
Sites, in units of the cell vectors:
Na 0.0000 0.0000 0.0000
Li 0.5000 0.5000 0.5000
I 0.5000 0.5000 0.0000
O 0.0000 0.5000 0.5000
O 0.5000 0.0000 0.5000



Q:
Entry from Alexandria via LeMat-Bulk: crystalline NaLiIO2 at its relaxed geometry (PBE-GGA).

Output
SG: No. 123

Unit cell a=4.4441 b=4.4441 c=6.3009 alpha=90.00 beta=90.00 gamma=90.00
Sites, in units of the cell vectors:
Na 0.0000 0.0000 0.0000
Li 0.5000 0.5000 0.5000
I 0.0000 0.0000 0.5000
O 0.0000 0.5000 0.0000
O 0.5000 0.0000 0.0000



Stability summary: most stable P, least stable Q.



P:
Entry from Alexandria via LeMat-Bulk: crystalline LiNb3I at its relaxed geometry (PBE-GGA).

Output
SG: No. 221

Unit cell a=5.0842 b=5.0842 c=5.0842 alpha=90.00 beta=90.00 gamma=90.00
Sites, in units of the cell vectors:
Li 0.0000 0.0000 0.0000
Nb 0.0000 0.5000 0.5000
Nb 0.5000 0.0000 0.5000
Nb 0.5000 0.5000 0.0000
I 0.5000 0.5000 0.5000



Q:
Entry from Alexandria via LeMat-Bulk: crystalline LiNb3I at its relaxed geometry (PBE-GGA).

Output
SG: No. 221

Unit cell a=4.5697 b=4.5697 c=4.5697 alpha=90.00 beta=90.00 gamma=90.00
Sites, in units of the cell vectors:
Li 0.0000 0.0000 0.0000
Nb 0.0000 0.0000 0.5000
Nb 0.0000 0.5000 0.0000
Nb 0.5000 0.0000 0.0000
I 0.5000 0.5000 0.5000



Stability summary: most stable Q, least stable P.



P:
Entry from Alexandria via LeMat-Bulk: crystalline LiNbIO2 at its relaxed geometry (PBE-GGA).

Output
SG: No. 123

Unit cell a=3.9845 b=3.9845 c=4.4839 alpha=90.00 beta=90.00 gamma=90.00
Sites, in units of the cell vectors:
Li 0.0000 0.0000 0.0000
Nb 0.5000 0.5000 0.5000
I 0.0000 0.0000 0.5000
O 0.0000 0.5000 0.0000
O 0.5000 0.0000 0.0000



Q:
Entry from Alexandria via LeMat-Bulk: crystalline LiNbIO2 at its relaxed geometry (PBE-GGA).

Output
SG: No. 123

Unit cell a=3.9825 b=3.9825 c=6.1701 alpha=90.00 beta=90.00 gamma=90.00
Sites, in units of the cell vectors:
Li 0.0000 0.0000 0.0000
Nb 0.5000 0.5000 0.5000
I 0.5000 0.5000 0.0000
O 0.0000 0.5000 0.5000
O 0.5000 0.0000 0.5000



Stability summary: most stable Q, least stable P.



P:
Entry from Alexandria via LeMat-Bulk: crystalline LiNd2I6 at its relaxed geometry (PBE-GGA).

Output
SG: No. 12

Unit cell a=8.6625 b=8.6625 c=9.0134 alpha=94.07 beta=94.07 gamma=42.48
Sites, in units of the cell vectors:
Li 0.0000 0.0000 0.0000
Nd 0.2361 0.2361 0.6540
Nd 0.7639 0.7639 0.3460
I 0.0550 0.0550 0.7249
I 0.2704 0.2704 0.3168
I 0.3807 0.3807 0.8815
I 0.6193 0.6193 0.1185
I 0.7296 0.7296 0.6832
I 0.9450 0.9450 0.2751



Q:
Entry from Alexandria via LeMat-Bulk: crystalline LiNd2I6 at its relaxed geometry (PBE-GGA).

Output
SG: No. 12

Unit cell a=10.4703 b=10.4703 c=9.6104 alpha=107.10 beta=107.10 gamma=23.37
Sites, in units of the cell vectors:
Li 0.0000 0.0000 0.0000
Nd 0.3394 0.3394 0.6820
Nd 0.6606 0.6606 0.3180
I 0.1643 0.1643 0.0790
I 0.1724 0.1724 0.5768
I 0.4955 0.4955 0.7779
I 0.5045 0.5045 0.2221
I 0.8276 0.8276 0.4232
I 0.8357 0.8357 0.9210



Stability summary: most stable Q, least stable P.



P:
Entry from Alexandria via LeMat-Bulk: crystalline Li2NdI6 at its relaxed geometry (PBE-GGA).

Output
SG: No. 12

Unit cell a=7.7497 b=7.7497 c=11.5339 alpha=105.54 beta=105.54 gamma=35.01
Sites, in units of the cell vectors:
Li 0.2017 0.2017 0.1826
Li 0.7983 0.7983 0.8174
Nd 0.0000 0.0000 0.5000
I 0.0336 0.0336 0.2509
I 0.3308 0.3308 0.9469
I 0.3479 0.3479 0.4149
I 0.6521 0.6521 0.5851
I 0.6692 0.6692 0.0531
I 0.9664 0.9664 0.7491



Q:
Entry from Alexandria via LeMat-Bulk: crystalline Li2NdI6 at its relaxed geometry (PBE-GGA).

Output
SG: No. 15

Unit cell a=10.1430 b=10.1430 c=7.9042 alpha=103.42 beta=103.42 gamma=94.73
Sites, in units of the cell vectors:
Li 0.0405 0.2244 0.2236
Li 0.2244 0.0405 0.7236
Li 0.7756 0.9595 0.2764
Li 0.9595 0.7756 0.7764
Nd 0.4080 0.5920 0.7500
Nd 0.5920 0.4080 0.2500
I 0.0116 0.1704 0.5486
I 0.1220 0.5651 0.8087
I 0.1704 0.0116 0.0486
I 0.2981 0.4376 0.3385
I 0.4349 0.8780 0.6913
I 0.4376 0.2981 0.8385
I 0.5624 0.7019 0.1615
I 0.5651 0.1220 0.3087
I 0.7019 0.5624 0.6615
I 0.8296 0.9884 0.9514
I 0.8780 0.4349 0.1913
I 0.9884 0.8296 0.4514



Stability summary: most stable Q, least stable P.



P:
Entry from Alexandria via LeMat-Bulk: crystalline LiNdI4 at its relaxed geometry (PBE-GGA).

Output
SG: No. 12

Unit cell a=17.2767 b=4.4786 c=7.6420 alpha=90.00 beta=115.44 gamma=90.00
Sites, in units of the cell vectors:
Li 0.0000 0.0000 0.0000
Li 0.5000 0.5000 0.0000
Nd 0.0000 0.5000 0.5000
Nd 0.5000 0.0000 0.5000
I 0.1058 0.5000 0.9440
I 0.1184 0.0000 0.4512
I 0.3816 0.5000 0.5488
I 0.3942 0.0000 0.0560
I 0.6058 0.0000 0.9440
I 0.6184 0.5000 0.4512
I 0.8816 0.0000 0.5488
I 0.8942 0.5000 0.0560



Q:
Entry from Alexandria via LeMat-Bulk: crystalline LiNdI4 at its relaxed geometry (PBE-GGA).

Output
SG: No. 15

Unit cell a=10.5332 b=10.5332 c=7.6890 alpha=103.93 beta=103.93 gamma=130.35
Sites, in units of the cell vectors:
Li 0.0828 0.9172 0.7500
Li 0.9172 0.0828 0.2500
Nd 0.4230 0.5770 0.2500
Nd 0.5770 0.4230 0.7500
I 0.0601 0.4157 0.2467
I 0.2002 0.2958 0.7545
I 0.2958 0.2002 0.2545
I 0.4157 0.0601 0.7467
I 0.5843 0.9399 0.2533
I 0.7042 0.7998 0.7455
I 0.7998 0.7042 0.2455
I 0.9399 0.5843 0.7533



Stability summary: most stable P, least stable Q.



P:
Entry from Alexandria via LeMat-Bulk: crystalline Li3NiI at its relaxed geometry (PBE-GGA).

Output
SG: No. 221

Unit cell a=4.7224 b=4.7224 c=4.7224 alpha=90.00 beta=90.00 gamma=90.00
Sites, in units of the cell vectors:
Li 0.0000 0.0000 0.5000
Li 0.0000 0.5000 0.0000
Li 0.5000 0.0000 0.0000
Ni 0.0000 0.0000 0.0000
I 0.5000 0.5000 0.5000



Q:
Entry from Alexandria via LeMat-Bulk: crystalline Li3NiI at its relaxed geometry (PBE-GGA).

Output
SG: No. 221

Unit cell a=5.0853 b=5.0853 c=5.0853 alpha=90.00 beta=90.00 gamma=90.00
Sites, in units of the cell vectors:
Li 0.0000 0.0000 0.5000
Li 0.0000 0.5000 0.0000
Li 0.5000 0.0000 0.0000
Ni 0.5000 0.5000 0.5000
I 0.0000 0.0000 0.0000



Stability summary: most stable P, least stable Q.